1.
ThAlPb | PBE | relaxed

Unit cell a=8.5998 b=8.5998 c=4.3145 alpha=90.00 beta=90.00 gamma=148.43
Fractional positions:
1 Th 0.0907 0.9093 0.7500
2 Th 0.9093 0.0907 0.2500
3 Al 0.4509 0.5491 0.7500
4 Al 0.5491 0.4509 0.2500
5 Pb 0.2550 0.7450 0.2500
6 Pb 0.7450 0.2550 0.7500

For the volume, the calculation gives 27.85 Å³ per atom. The value obtained for the total DFT energy (no corrections) is -15.48 eV per formula unit. Its total magnetization is 0.00 Bohr magnetons per cell.


2.
ThAlPb | PBE | relaxed

Unit cell a=4.7855 b=4.7855 c=4.0476 alpha=90.00 beta=90.00 gamma=120.00
Fractional positions:
1 Th 0.0000 0.0000 0.0000
2 Al 0.3333 0.6667 0.5393
3 Pb 0.6667 0.3333 0.4801

For the volume, the calculation gives 26.76 Å³ per atom. The value obtained for the total DFT energy (no corrections) is -15.20 eV per formula unit. Its total magnetization is 0.00 Bohr magnetons per cell.


3.
Th5Al2Pb | PBE | relaxed

Unit cell a=9.1321 b=9.1321 c=9.1321 alpha=127.42 beta=127.42 gamma=77.56
Fractional positions:
1 Th 0.0000 0.0000 0.0000
2 Th 0.0163 0.5163 0.8280
3 Th 0.1883 0.0163 0.5000
4 Th 0.3117 0.8117 0.8280
5 Th 0.4837 0.3117 0.5000
6 Th 0.5000 0.5000 0.0000
7 Th 0.5163 0.6883 0.5000
8 Th 0.6883 0.1883 0.1720
9 Th 0.8117 0.9837 0.5000
10 Th 0.9837 0.4837 0.1720
11 Al 0.1244 0.3756 0.5000
12 Al 0.3756 0.8756 0.2511
13 Al 0.6244 0.1244 0.7489
14 Al 0.8756 0.6244 0.5000
15 Pb 0.2500 0.2500 0.0000
16 Pb 0.7500 0.7500 0.0000

For the volume, the calculation gives 29.11 Å³ per atom. The value obtained for the total DFT energy (no corrections) is -50.15 eV per formula unit. Its total magnetization is 0.00 Bohr magnetons per cell.


4.
ThAlPb2 | PBE | relaxed

Unit cell a=4.8011 b=4.8011 c=4.6902 alpha=90.00 beta=90.00 gamma=90.00
Fractional positions:
1 Th 0.0000 0.0000 0.0000
2 Al 0.5000 0.5000 0.0000
3 Pb 0.0000 0.5000 0.5000
4 Pb 0.5000 0.0000 0.5000

For the volume, the calculation gives 27.03 Å³ per atom. The value obtained for the total DFT energy (no corrections) is -19.33 eV per formula unit. Its total magnetization is 0.00 Bohr magnetons per cell.


5.
Ti3AlPb | PBE | relaxed

Unit cell a=5.0813 b=5.0813 c=5.0813 alpha=90.00 beta=90.00 gamma=90.00
Fractional positions:
1 Ti 0.0000 0.0000 0.5000
2 Ti 0.0000 0.5000 0.0000
3 Ti 0.5000 0.0000 0.0000
4 Al 0.5000 0.5000 0.5000
5 Pb 0.0000 0.0000 0.0000

For the volume, the calculation gives 26.24 Å³ per atom. The value obtained for the total DFT energy (no corrections) is -25.20 eV per formula unit. Its total magnetization is 2.15 Bohr magnetons per cell.


6.
Ti3AlPb | PBE | relaxed

Unit cell a=7.6047 b=7.6047 c=5.3446 alpha=99.24 beta=99.24 gamma=39.36
Fractional positions:
1 Ti 0.0000 0.0000 0.0000
2 Ti 0.0000 0.0000 0.5000
3 Ti 0.0980 0.5980 0.6489
4 Ti 0.4020 0.9020 0.3511
5 Ti 0.5980 0.0980 0.6489
6 Ti 0.9020 0.4020 0.3511
7 Al 0.4652 0.4652 0.2380
8 Al 0.5348 0.5348 0.7620
9 Pb 0.1882 0.1882 0.8666
10 Pb 0.8118 0.8118 0.1334

For the volume, the calculation gives 19.32 Å³ per atom. The value obtained for the total DFT energy (no corrections) is -30.76 eV per formula unit. Its total magnetization is 0.00 Bohr magnetons per cell.


7.
Ti6Al2Pb | PBE | relaxed

Unit cell a=7.3385 b=7.3385 c=7.3385 alpha=142.62 beta=134.93 gamma=59.94
Fractional positions:
1 Ti 0.0559 0.8096 0.2463
2 Ti 0.2378 0.0000 0.2378
3 Ti 0.4367 0.1904 0.2463
4 Ti 0.5633 0.8096 0.7537
5 Ti 0.7622 0.0000 0.7622
6 Ti 0.9441 0.1904 0.7537
7 Al 0.1128 0.6128 0.5000
8 Al 0.8872 0.3872 0.5000
9 Pb 0.5000 0.5000 0.0000

For the volume, the calculation gives 18.69 Å³ per atom. The value obtained for the total DFT energy (no corrections) is -56.46 eV per formula unit. Its total magnetization is 0.00 Bohr magnetons per cell.


8.
TiAlPb3 | PBE | relaxed

Unit cell a=5.4142 b=5.4142 c=5.4142 alpha=90.00 beta=90.00 gamma=90.00
Fractional positions:
1 Ti 0.0000 0.0000 0.0000
2 Al 0.5000 0.5000 0.5000
3 Pb 0.0000 0.0000 0.5000
4 Pb 0.0000 0.5000 0.0000
5 Pb 0.5000 0.0000 0.0000

For the volume, the calculation gives 31.74 Å³ per atom. The value obtained for the total DFT energy (no corrections) is -20.60 eV per formula unit. Its total magnetization is 0.00 Bohr magnetons per cell.